# LiEuGd

LiEuGd after structural relaxation (PBE, Alexandria).

## Properties
E above lowest polymorph	0.0453	eV/atom
calculated density	5.44	g cm⁻³
SG	P3m1 (156)

Unit cell a=3.5978 b=3.5978 c=8.6021 alpha=90.00 beta=90.00 gamma=120.00
Element x y z (fractional)
Li1 0.0000 0.0000 0.0000
Eu1 0.3333 0.6667 0.6663
Gd1 0.6667 0.3333 0.3099



# Pr5NdHo4

Pr5NdHo4 after structural relaxation (PBE, Alexandria).

## Properties
E above lowest polymorph	0.0000	eV/atom
calculated density	7.41	g cm⁻³
SG	P-1 (2)

Unit cell a=3.6447 b=9.5926 c=10.2713 alpha=73.88 beta=89.99 gamma=79.10
Element x y z (fractional)
Pr1 0.0000 0.0000 0.0000
Pr2 0.1999 0.5992 0.1005
Pr3 0.3984 0.2020 0.6956
Pr4 0.6016 0.7980 0.3044
Pr5 0.8001 0.4008 0.8995
Nd1 0.0000 0.0000 0.5000
Ho1 0.2002 0.6004 0.6000
Ho2 0.3989 0.2026 0.2031
Ho3 0.6011 0.7974 0.7969
Ho4 0.7998 0.3996 0.4000



# CsLaN2O

CsLaN2O after structural relaxation (PBE, Alexandria).

## Properties
calculated density	6.05	g cm⁻³
SG	P4/mmm (123)
uncorrected formation energy	0.8220	eV per atom

Unit cell a=4.4233 b=4.4233 c=4.4299 alpha=90.00 beta=90.00 gamma=90.00
Element x y z (fractional)
Cs1 0.0000 0.0000 0.0000
La1 0.5000 0.5000 0.5000
N1 0.0000 0.5000 0.0000
N2 0.5000 0.0000 0.0000
O1 0.0000 0.0000 0.5000



# YSi4Tc

YSi4Tc after structural relaxation (PBE, Alexandria).

## Properties
calculated density	5.30	g cm⁻³
SG	F-43m (216)
uncorrected formation energy	0.1446	eV per atom

Unit cell a=5.1008 b=5.1008 c=5.1008 alpha=60.00 beta=60.00 gamma=60.00
Element x y z (fractional)
Y1 0.0000 0.0000 0.0000
Si1 0.1287 0.6238 0.6238
Si2 0.6238 0.1287 0.6238
Si3 0.6238 0.6238 0.1287
Si4 0.6238 0.6238 0.6238
Tc1 0.2500 0.2500 0.2500



# NaCaGe2

NaCaGe2 after structural relaxation (PBE, Alexandria).

## Properties
E above lowest polymorph	0.1712	eV/atom
calculated density	3.93	g cm⁻³
SG	P4/mmm (123)

Unit cell a=4.4520 b=4.4520 c=4.4453 alpha=90.00 beta=90.00 gamma=90.00
Element x y z (fractional)
Na1 0.0000 0.0000 0.0000
Ca1 0.5000 0.5000 0.0000
Ge1 0.0000 0.5000 0.5000
Ge2 0.5000 0.0000 0.5000



# La2PrSm3P6

La2PrSm3P6 after structural relaxation (PBE, Alexandria).

## Properties
calculated density	5.66	g cm⁻³
SG	C2/m (12)

Unit cell a=9.3456 b=9.3456 c=8.3609 alpha=102.95 beta=102.95 gamma=25.85
Element x y z (fractional)
La1 0.1663 0.1663 0.3326
La2 0.8337 0.8337 0.6674
Pr1 0.5000 0.5000 0.0000
Sm1 0.1665 0.1665 0.8338
Sm2 0.5000 0.5000 0.5000
Sm3 0.8335 0.8335 0.1662
P1 0.0018 0.0018 0.7473
P2 0.3322 0.3322 0.9213
P3 0.3351 0.3351 0.4123
P4 0.6649 0.6649 0.5877
P5 0.6678 0.6678 0.0787
P6 0.9982 0.9982 0.2527



no.,energy (Ha/atom)
1,-0.316
2,-0.172
3,-0.171
4,-0.231
5,-0.124
6,-0.245